{"formula": "VZnGa2O6", "functional": "PBE with a Hubbard U", "state": "relaxed", "cell": [[-1.4824, -5.6847, -0.0979], [4.8768, -3.1665, -3.3207], [3.5254, -2.9551, 4.8658]], "species": ["O", "Ga", "V", "Ga", "Ga", "Zn", "O", "O", "O", "O", "O", "O", "Zn", "V", "O", "O", "O", "Ga", "O", "O"], "frac_coords": [[0.0728, 0.5978, 0.6902], [0.7596, 0.1920, 0.3692], [0.7500, 0.0955, 0.9045], [0.2404, 0.8080, 0.6308], [0.2596, 0.3692, 0.1920], [0.2500, 0.2952, 0.7048], [0.2544, 0.9393, 0.3501], [0.7544, 0.3501, 0.9393], [0.5728, 0.6902, 0.5978], [0.7456, 0.0607, 0.6499], [0.2456, 0.6499, 0.0607], [0.4272, 0.3098, 0.4022], [0.7500, 0.7048, 0.2952], [0.2500, 0.9045, 0.0955], [0.8639, 0.9841, 0.1952], [0.9272, 0.4022, 0.3098], [0.6361, 0.8048, 0.0159], [0.7404, 0.6308, 0.8080], [0.1361, 0.0159, 0.8048], [0.3639, 0.1952, 0.9841]], "final_energy_ev_per_atom": -6.2213, "dos_ef_per_ev_cell": 0.00}